No. 1
Entry from Alexandria: a geometry-optimized La2CoCu2 structure (GGA-PBE).

Cell: 3.4807 3.4807 17.3051 Å, 90.00 90.00 90.00°
With the nearest neighbours (Å) after each atom.
Fractional positions:
1 La 0.0000 0.0000 0.0979  4 Co 2.99, 4 Cu 3.16
2 La 0.0000 0.0000 0.9021  4 Co 2.99, 4 Cu 3.16
3 La 0.5000 0.5000 0.4021  4 Co 2.99, 4 Cu 3.16
4 La 0.5000 0.5000 0.5979  4 Co 2.99, 4 Cu 3.16
5 Co 0.0000 0.0000 0.5000  8 La 2.99
6 Co 0.5000 0.5000 0.0000  8 La 2.99
7 Cu 0.0000 0.5000 0.2500  4 Cu 2.46
8 Cu 0.0000 0.5000 0.7500  4 Cu 2.46
9 Cu 0.5000 0.0000 0.2500  4 Cu 2.46
10 Cu 0.5000 0.0000 0.7500  4 Cu 2.46

## Properties
Symmetry: No. 139
Total energy, eV/atom: -5.00

---

No. 2
Entry from Alexandria: a geometry-optimized YCuP2 structure (GGA-PBE).

Cell: 6.5360 6.5360 6.5360 Å, 90.00 90.00 90.00°
With the nearest neighbours (Å) after each atom.
Fractional positions:
1 Y 0.0000 0.0000 0.0000  4 Cu 2.83, 4 P 2.83
2 Y 0.0000 0.5000 0.5000  4 Cu 2.83, 4 P 2.83
3 Y 0.5000 0.0000 0.5000  4 Cu 2.83, 4 P 2.83
4 Y 0.5000 0.5000 0.0000  4 Cu 2.83, 4 P 2.83
5 Cu 0.2500 0.2500 0.2500  4 Y 2.83, 4 P 2.83
6 Cu 0.2500 0.7500 0.7500  4 Y 2.83, 4 P 2.83
7 Cu 0.7500 0.2500 0.7500  4 Y 2.83, 4 P 2.83
8 Cu 0.7500 0.7500 0.2500  4 Y 2.83, 4 P 2.83
9 P 0.0000 0.0000 0.5000  4 Cu 2.83, 4 P 2.83
10 P 0.0000 0.5000 0.0000  4 Cu 2.83, 4 P 2.83
11 P 0.2500 0.2500 0.7500  4 Y 2.83, 4 P 2.83
12 P 0.2500 0.7500 0.2500  4 Y 2.83, 4 P 2.83
13 P 0.5000 0.0000 0.0000  4 Cu 2.83, 4 P 2.83
14 P 0.5000 0.5000 0.5000  4 Cu 2.83, 4 P 2.83
15 P 0.7500 0.2500 0.2500  4 Y 2.83, 4 P 2.83
16 P 0.7500 0.7500 0.7500  4 Y 2.83, 4 P 2.83

## Properties
Symmetry: No. 216
Total energy, eV/atom: -5.43

---

No. 3
Entry from Alexandria: a geometry-optimized GdHoErTl structure (GGA-PBE).

Cell: 7.7149 7.7149 7.7149 Å, 90.00 90.00 90.00°
With the nearest neighbours (Å) after each atom.
Fractional positions:
1 Gd 0.0000 0.0000 0.0000  4 Tl 3.34, 4 Er 3.34
2 Gd 0.0000 0.5000 0.5000  4 Tl 3.34, 4 Er 3.34
3 Gd 0.5000 0.0000 0.5000  4 Tl 3.34, 4 Er 3.34
4 Gd 0.5000 0.5000 0.0000  4 Tl 3.34, 4 Er 3.34
5 Ho 0.0000 0.0000 0.5000  4 Tl 3.34, 4 Er 3.34
6 Ho 0.0000 0.5000 0.0000  4 Tl 3.34, 4 Er 3.34
7 Ho 0.5000 0.0000 0.0000  4 Tl 3.34, 4 Er 3.34
8 Ho 0.5000 0.5000 0.5000  4 Tl 3.34, 4 Er 3.34
9 Er 0.2500 0.2500 0.7500  4 Gd 3.34, 4 Ho 3.34
10 Er 0.2500 0.7500 0.2500  4 Gd 3.34, 4 Ho 3.34
11 Er 0.7500 0.2500 0.2500  4 Gd 3.34, 4 Ho 3.34
12 Er 0.7500 0.7500 0.7500  4 Ho 3.34, 4 Gd 3.34
13 Tl 0.2500 0.2500 0.2500  4 Gd 3.34, 4 Ho 3.34
14 Tl 0.2500 0.7500 0.7500  4 Gd 3.34, 4 Ho 3.34
15 Tl 0.7500 0.2500 0.7500  4 Gd 3.34, 4 Ho 3.34
16 Tl 0.7500 0.7500 0.2500  4 Gd 3.34, 4 Ho 3.34

## Properties
Symmetry: No. 216
Total energy, eV/atom: -6.45

---

no.,calculated volume (Å³/cell)
1,210
2,279
3,459